Here is a PBEsol-optimized structure of MgSb3S from Alexandria via LeMat-Bulk. Energies are from meta-GGA SCAN.

```
data_MgSb3S
_symmetry_space_group_name_H-M 'P m -3 m'
_symmetry_Int_Tables_number 221
_symmetry_space_group_name_Hall '-P 4 2 3'
_cell_length_a 5.2176
_cell_length_b 5.2176
_cell_length_c 5.2176
_cell_angle_alpha 90.00
_cell_angle_beta 90.00
_cell_angle_gamma 90.00
loop_
_atom_site_label
_atom_site_type_symbol
_atom_site_fract_x
_atom_site_fract_y
_atom_site_fract_z
Mg1 Mg 0.0000 0.0000 0.0000
Sb1 Sb 0.0000 0.0000 0.5000
S1 S 0.5000 0.5000 0.5000
```

Properties
- crystal system = cubic
- spin magnetization (μB per formula unit) = 0.00
- formation energy without anion corrections (eV/atom) = 0.869

Here is a PBEsol-optimized structure of MgTi2SbS from Alexandria via LeMat-Bulk. Energies are from meta-GGA SCAN.

```
data_MgTi2SbS
_symmetry_space_group_name_H-M 'P 4/m m m'
_symmetry_Int_Tables_number 123
_symmetry_space_group_name_Hall '-P 4 2'
_cell_length_a 5.0235
_cell_length_b 5.0235
_cell_length_c 4.2561
_cell_angle_alpha 90.00
_cell_angle_beta 90.00
_cell_angle_gamma 90.00
loop_
_atom_site_label
_atom_site_type_symbol
_atom_site_fract_x
_atom_site_fract_y
_atom_site_fract_z
Mg1 Mg 0.0000 0.0000 0.0000
Ti1 Ti 0.0000 0.5000 0.0000
Sb1 Sb 0.5000 0.5000 0.5000
S1 S 0.0000 0.0000 0.5000
```

Properties
- crystal system = tetragonal
- spin magnetization (μB per formula unit) = 2.15
- formation energy without anion corrections (eV/atom) = 0.723

Here is a PBEsol-optimized structure of MgScS3 from Alexandria via LeMat-Bulk. Energies are from meta-GGA SCAN.

```
data_MgScS3
_symmetry_space_group_name_H-M 'P m -3 m'
_symmetry_Int_Tables_number 221
_symmetry_space_group_name_Hall '-P 4 2 3'
_cell_length_a 4.8421
_cell_length_b 4.8421
_cell_length_c 4.8421
_cell_angle_alpha 90.00
_cell_angle_beta 90.00
_cell_angle_gamma 90.00
loop_
_atom_site_label
_atom_site_type_symbol
_atom_site_fract_x
_atom_site_fract_y
_atom_site_fract_z
Mg1 Mg 0.0000 0.0000 0.0000
Sc1 Sc 0.5000 0.5000 0.5000
S1 S 0.0000 0.5000 0.5000
```

Properties
- crystal system = cubic
- spin magnetization (μB per formula unit) = 0.00
- formation energy without anion corrections (eV/atom) = -0.878

Here is a PBEsol-optimized structure of MgSc3S from Alexandria via LeMat-Bulk. Energies are from meta-GGA SCAN.

```
data_MgSc3S
_symmetry_space_group_name_H-M 'P m -3 m'
_symmetry_Int_Tables_number 221
_symmetry_space_group_name_Hall '-P 4 2 3'
_cell_length_a 4.8295
_cell_length_b 4.8295
_cell_length_c 4.8295
_cell_angle_alpha 90.00
_cell_angle_beta 90.00
_cell_angle_gamma 90.00
loop_
_atom_site_label
_atom_site_type_symbol
_atom_site_fract_x
_atom_site_fract_y
_atom_site_fract_z
Mg1 Mg 0.0000 0.0000 0.0000
Sc1 Sc 0.0000 0.5000 0.5000
S1 S 0.5000 0.5000 0.5000
```

Properties
- crystal system = cubic
- spin magnetization (μB per formula unit) = 0.01
- formation energy without anion corrections (eV/atom) = -0.792

Here is a PBEsol-optimized structure of MgSc2S from Alexandria via LeMat-Bulk. Energies are from meta-GGA SCAN.

```
data_MgSc2S
_symmetry_space_group_name_H-M 'F m -3 m'
_symmetry_Int_Tables_number 225
_symmetry_space_group_name_Hall '-F 4 2 3'
_cell_length_a 6.7427
_cell_length_b 6.7427
_cell_length_c 6.7427
_cell_angle_alpha 90.00
_cell_angle_beta 90.00
_cell_angle_gamma 90.00
loop_
_atom_site_label
_atom_site_type_symbol
_atom_site_fract_x
_atom_site_fract_y
_atom_site_fract_z
Mg1 Mg 0.0000 0.0000 0.0000
Sc1 Sc 0.2500 0.2500 0.2500
S1 S 0.0000 0.0000 0.5000
```

Properties
- crystal system = cubic
- E above lowest polymorph (meV/atom) = 0
- spin magnetization (μB per formula unit) = 0.00
- formation energy without anion corrections (eV/atom) = -0.284

Here is a PBEsol-optimized structure of MgSc2S from Alexandria via LeMat-Bulk. Energies are from meta-GGA SCAN.

```
data_MgSc2S
_symmetry_space_group_name_H-M 'R -3 m'
_symmetry_Int_Tables_number 166
_symmetry_space_group_name_Hall '-R 3 2"'
_cell_length_a 3.4926
_cell_length_b 3.4926
_cell_length_c 28.5394
_cell_angle_alpha 90.00
_cell_angle_beta 90.00
_cell_angle_gamma 120.00
loop_
_atom_site_label
_atom_site_type_symbol
_atom_site_fract_x
_atom_site_fract_y
_atom_site_fract_z
Mg1 Mg 0.0000 0.0000 0.0000
Sc1 Sc 0.0000 0.0000 0.4194
S1 S 0.0000 0.0000 0.5000
```

Properties
- crystal system = trigonal
- E above lowest polymorph (meV/atom) = 3
- spin magnetization (μB per formula unit) = 0.63
- formation energy without anion corrections (eV/atom) = -0.281